Record 1
Below is crystalline ZrCdCoSi at its relaxed geometry, with properties calculated at the PBE level.

Unit cell a=4.5210 b=4.5210 c=4.5210 alpha=60.00 beta=60.00 gamma=60.00
Closest atoms and distances in Å follow each position.
Element x y z (fractional)
Zr (0.0000, 0.0000, 0.0000)  4 Cd 2.77, 4 Si 2.77
Cd (0.7500, 0.7500, 0.7500)  4 Co 2.77, 4 Zr 2.77
Co (0.5000, 0.5000, 0.5000)  4 Cd 2.77, 4 Si 2.77
Si (0.2500, 0.2500, 0.2500)  4 Co 2.77, 4 Zr 2.77

Results
Final energy   -21.8 eV/f.u.
SG   F-43m (216)
Crystal system   cubic



Record 2
Below is crystalline HgN2 at its relaxed geometry, with properties calculated at the PBE level.

Unit cell a=4.6527 b=4.6527 c=4.6527 alpha=60.00 beta=60.00 gamma=60.00
Closest atoms and distances in Å follow each position.
Element x y z (fractional)
Hg (0.1250, 0.1250, 0.1250)  12 N 2.73, 4 Hg 2.85
Hg (0.8750, 0.8750, 0.8750)  12 N 2.73, 4 Hg 2.85
N (0.0000, 0.5000, 0.5000)  6 N 2.33
N (0.5000, 0.0000, 0.5000)  6 N 2.33
N (0.5000, 0.5000, 0.0000)  6 N 2.33
N (0.5000, 0.5000, 0.5000)  6 N 2.33

Results
Final energy   -8.1 eV/f.u.
SG   Fd-3m (227)
Crystal system   cubic



Question: Among the records above, which one has the highest final energy?
Answer: HgN2